Run i
LiY2Si2 | GGA-PBE | optimized geometry

DOS at the Fermi energy   3.81 states/eV/f.u.

Cell and atoms, written as extended XYZ:
```
10
Lattice="7.126 0.000 0.000 0.000 7.126 0.000 0.000 0.000 4.221" Properties=species:S:1:pos:R:3 pbc="T T T"
Li 0.000 0.000 0.000
Li 3.563 3.563 0.000
Y 1.269 2.294 2.111
Y 2.294 5.857 2.111
Y 4.832 1.269 2.111
Y 5.857 4.832 2.111
Si 0.846 4.410 0.000
Si 2.717 0.846 0.000
Si 4.410 6.280 0.000
Si 6.280 2.717 0.000
```

Run ii
LiY2Si2 | GGA-PBE | optimized geometry

DOS at the Fermi energy   4.41 states/eV/f.u.

Cell and atoms, written as extended XYZ:
```
5
Lattice="-1.792 1.792 9.334 1.792 -1.792 9.334 1.792 1.792 -9.334" Properties=species:S:1:pos:R:3 pbc="T T T"
Li 0.000 0.000 0.000
Y 0.000 0.000 7.028
Y 0.000 0.000 11.641
Si 1.792 0.000 4.667
Si 0.000 1.792 4.667
```

Run iii
LiY2Si2 | GGA-PBE | optimized geometry

DOS at the Fermi energy   2.83 states/eV/f.u.

Cell and atoms, written as extended XYZ:
```
10
Lattice="5.365 -2.127 0.000 5.365 2.127 0.000 -4.848 0.000 9.015" Properties=species:S:1:pos:R:3 pbc="T T T"
Li 0.646 0.000 3.311
Li 5.235 0.000 5.704
Y -1.031 0.000 8.115
Y 2.021 0.000 6.071
Y 3.860 0.000 2.944
Y 6.912 0.000 0.901
Si -4.131 0.000 8.014
Si -1.390 0.000 5.158
Si 7.271 0.000 3.858
Si 10.012 0.000 1.001
```

Among the structures above, stability is greatest for run i.